(1)
Below is a relaxed VZnAu3 crystal, with properties calculated at the PBE-GGA level.

abc: 4.771 4.771 4.771
angles: 90.00 90.00 90.00
Space group Pm-3m (No. 221)
Inequivalent atoms, fractional coordinates:
V  0.000  0.000  0.000 x1
Zn  0.500  0.500  0.500 x1
Au  0.000  0.500  0.500 x3

Output
Its offset from the most stable computed form is 0 meV/atom. As for the calculated volume: 21.71 Å³/atom.

(2)
Below is a relaxed VZn2Au crystal, with properties calculated at the PBE-GGA level.

abc: 4.674 5.615 5.640
angles: 61.34 74.02 74.71
Space group P1 (No. 1)
Inequivalent atoms, fractional coordinates:
V  0.000  0.000  0.000 x1
V  0.486  0.218  0.772 x1
Zn  0.006  0.490  0.011 x1
Zn  0.489  0.737  0.767 x1
Zn  0.492  0.743  0.254 x1
Zn  0.996  0.996  0.520 x1
Au  0.509  0.236  0.259 x1
Au  0.977  0.514  0.508 x1

Output
As for the calculated volume: 15.42 Å³/atom.

(3)
Below is a relaxed VZn2Au8 crystal, with properties calculated at the PBE-GGA level.

abc: 19.231 2.998 7.474
angles: 90.00 112.83 90.00
Space group C2/m (No. 12)
Inequivalent atoms, fractional coordinates:
V  0.000  0.000  0.000 x2
Zn  0.128  0.500  0.627 x4
Au  0.000  0.500  0.307 x4
Au  0.137  0.000  0.330 x4
Au  0.137  0.000  0.943 x4
Au  0.250  0.000  0.750 x4

Output
Its offset from the most stable computed form is 6 meV/atom. As for the calculated volume: 18.05 Å³/atom.

E_form, record by record: 0.634 -0.029 -0.002 eV per atom